PuPbSe2O8 | the Alexandria database | PBE | optimized geometry; crystal system = monoclinic; Fermi-level density of states = 2.999 states/eV/f.u.; E_tot = -80.05 eV/f.u.; magnetization = 1.65 μB/f.u.; formation energy from raw total energies = -1282 meV/atom
1.0
-3.8984 2.4744 3.3291
-2.0672 -4.5611 5.8360
1.5196 -0.5938 7.0874
Pb O Se Pu
1 8 2 1
Cartesian
-2.2230 -1.3403 8.1263
-2.3513 1.2550 8.6280
-2.0947 -3.9355 7.6246
-3.5398 -0.5445 5.9929
-3.2705 -0.2358 10.9455
-4.1621 -2.6233 9.3901
-0.9062 -2.1360 10.2597
-0.2839 -0.0573 6.8625
-1.1756 -2.4447 5.3071
-1.2186 -1.1135 4.2673
-3.2275 -1.5670 11.9853
0.0000 0.0000 0.0000

***

Ga2Ag2AsO6 | the Alexandria database | PBE | optimized geometry; crystal system = monoclinic; Fermi-level density of states = 1.135 states/eV/f.u.; E_tot = -57.79 eV/f.u.; magnetization = 0.00 μB/f.u.; formation energy from raw total energies = -1058 meV/atom
1.0
5.1100 -0.0058 -0.1679
-2.5307 4.4394 -0.1679
-1.1606 -1.9949 6.6698
O Ga Ag As
6 2 2 1
Cartesian
0.3529 3.3800 2.0414
1.2244 2.1046 4.1287
2.7639 1.9773 2.0414
0.1944 0.3341 2.2053
1.0659 -0.9414 4.2926
-1.3452 0.4613 4.2926
1.9883 0.4753 3.1670
-0.5696 1.9634 3.1670
-1.2222 3.6781 -0.1679
3.8016 0.7554 -0.1679
-0.5803 -0.9975 3.3349

***

Sm3Hg8 | the Alexandria database | PBE | optimized geometry; crystal system = trigonal; Fermi-level density of states = 6.024 states/eV/f.u.; E_tot = -20.60 eV/f.u.; ΔH_f (0 K) = -0.37 eV per atom; magnetization = 0.00 μB/f.u.
1.0
-2.2270 -1.5302 -4.2556
1.5348 -4.2329 -2.2668
-8.4747 -8.4842 4.4999
Hg Sm
8 3
Cartesian
-1.2112 -4.4390 -3.7414
-7.9557 -9.8084 1.7188
-7.4652 -11.1553 -1.0392
-6.3662 -6.8056 2.7930
-4.3531 -5.2030 1.1632
-2.8007 -7.4417 -4.8155
-4.8138 -9.0444 -3.1858
-1.7017 -3.0921 -0.9833
0.0000 0.0000 0.0000
-3.3655 -6.1540 -1.9973
-5.8014 -8.0933 -0.0252